1.
9
Lattice="-10.0760 3.8374 1.6737 9.1623 -5.6464 1.7955 1.5460 3.1625 2.0562" Properties=species:S:1:pos:R:3 comment="PBE Y2NiGe6, relaxed" magmom_total_mub_per_cell=0.00 ef_kj_per_mol_atoms=-50.47 dos_ef_per_ev_cell=3.53 spacegroup="Amm2 (38)" pbc="T T T"
Y 7.7370 -2.9814 2.8097
Ge -3.5966 0.6433 1.7147
Ge 2.5874 -0.4429 2.7771
Ge 4.5959 -3.3953 1.7666
Ge -10.0457 3.8224 1.6739
Ge 0.3341 0.6679 2.7628
Ge -7.7788 2.7049 1.6883
Ni -1.5234 -0.3787 1.7279
Y -5.0074 3.3011 2.7290

=====

2.
10
Lattice="7.2928 0.0000 0.0000 0.0000 7.2928 0.0000 0.0000 0.0000 3.0006" Properties=species:S:1:pos:R:3 comment="PBE YNi2Ge2, relaxed" magmom_total_mub_per_cell=0.00 ef_kj_per_mol_atoms=-28.41 dos_ef_per_ev_cell=6.37 spacegroup="P4/mbm (127)" pbc="T T T"
Ni 4.5303 0.8839 0.0000
Ni 2.7625 6.4089 0.0000
Ni 0.8839 2.7625 0.0000
Ni 6.4089 4.5303 0.0000
Ge 1.1718 4.8182 1.5003
Ge 6.1210 2.4746 1.5003
Y 0.0000 0.0000 0.0000
Ge 2.4746 1.1718 1.5003
Ge 4.8182 6.1210 1.5003
Y 3.6464 3.6464 0.0000

=====

3.
24
Lattice="4.1756 0.0000 0.0000 0.0000 11.3722 0.0000 0.0000 0.0000 11.4120" Properties=species:S:1:pos:R:3 comment="PBE Y3NiGe2, relaxed" magmom_total_mub_per_cell=0.07 ef_kj_per_mol_atoms=-78.56 dos_ef_per_ev_cell=19.23 spacegroup="Pnma (62)" pbc="T T T"
Y 3.1317 10.7057 1.3512
Y 1.0439 9.1424 8.1894
Ge 1.0439 7.8132 5.4796
Y 3.1317 6.3526 7.0572
Y 1.0439 7.9159 2.4834
Ni 3.1317 9.8736 9.9267
Y 1.0439 0.6665 10.0608
Ge 1.0439 9.2451 11.1856
Y 1.0439 1.4521 6.3609
Ge 3.1317 3.5590 5.9324
Y 1.0439 4.2340 0.6548
Ge 1.0439 5.6485 9.2123
Y 3.1317 7.1382 10.7572
Ge 3.1317 5.7237 2.1998
Ni 3.1317 7.1847 4.2206
Ni 1.0439 1.4986 1.4854
Ge 1.0439 0.0376 3.5062
Ge 3.1317 2.1271 0.2264
Ge 3.1317 11.3346 7.9058
Ni 1.0439 4.1875 7.1914
Y 3.1317 2.2298 3.2226
Y 1.0439 5.0196 4.3548
Y 3.1317 9.9201 5.0512
Y 3.1317 3.4563 8.9286

=====

4.
18
Lattice="3.8589 0.0000 0.0000 -1.9295 7.4578 -2.3840 0.0000 0.0636 9.4536" Properties=species:S:1:pos:R:3 comment="PBE YNi3Ge2, relaxed" magmom_total_mub_per_cell=0.00 ef_kj_per_mol_atoms=-59.74 dos_ef_per_ev_cell=11.66 spacegroup="C2/m (12)" pbc="T T T"
Ni 0.0000 0.7096 3.0193
Ni 0.0000 5.6614 5.7445
Ge 0.0000 2.9748 0.2846
Ge 0.0000 5.4014 3.4197
Ni 1.9295 2.7131 8.3208
Ni 1.9295 1.8600 1.3251
Ni 0.0000 3.2170 2.6762
Y 1.9295 5.1411 1.1847
Ni 0.0000 4.8083 -1.2512
Ni 1.9295 4.3044 4.3934
Y 0.0000 0.0000 0.0000
Y 0.0000 2.3804 5.8849
Ge 1.9295 0.5535 7.1927
Ge 0.0000 6.9679 -0.1231
Ge 1.9295 4.5466 6.7850
Ni 1.9295 0.0318 4.7268
Ge 1.9295 2.1200 3.6499
Ni 1.9295 6.8119 4.0503

=====

5.
14
Lattice="4.0400 0.0000 -0.9632 0.0000 6.7441 0.0000 0.0460 0.0000 9.1473" Properties=species:S:1:pos:R:3 comment="PBE Y2Ni2Ge3, relaxed" magmom_total_mub_per_cell=0.00 ef_kj_per_mol_atoms=-70.72 dos_ef_per_ev_cell=7.11 spacegroup="Cmcm (63)" pbc="T T T"
Ni 1.2480 3.0007 5.2347
Ge 3.1685 1.6860 4.3359
Ge 0.9175 5.0581 3.8483
Ge 1.7873 3.7724 7.4968
Ge 1.7873 6.3438 7.4968
Y 3.8757 1.6860 7.3021
Ni 2.8380 3.7434 2.9494
Y 0.6567 1.6860 2.7543
Y 0.2103 5.0581 0.8820
Ge 2.2987 0.4003 0.6874
Ge 2.2987 2.9717 0.6874
Y 3.4293 5.0581 5.4299
Ni 2.8380 6.3727 2.9494
Ni 1.2480 0.3714 5.2347

=====

6.
11
Lattice="-1.3727 1.7905 -4.2641 2.9868 -3.0528 -2.2434 -5.6763 -5.2703 -0.3857" Properties=species:S:1:pos:R:3 comment="PBE YNi8Ge2, relaxed" magmom_total_mub_per_cell=0.00 ef_kj_per_mol_atoms=18.21 dos_ef_per_ev_cell=10.38 spacegroup="P4/mmm (123)" pbc="T T T"
Ge 1.4934 -1.5264 -1.1217
Ni -4.0662 -4.4531 -1.9006
Ni -2.5457 -6.0071 -3.0426
Ge -0.6864 0.8953 -2.1321
Ni -4.7650 -3.5416 -4.0713
Ni -0.8177 -1.4370 -1.6799
Ni 0.0039 -2.0795 -4.9926
Ni 0.7027 -2.9910 -2.8219
Y -2.0311 -3.2663 -3.4466
Ni -3.2445 -5.0956 -5.2133
Ni -1.5165 -0.5255 -3.8506

=====

7.
6
Lattice="-0.6269 4.4116 -3.2766 -4.1937 2.3769 -2.7119 -3.1794 5.9659 1.4149" Properties=species:S:1:pos:R:3 comment="PBE YNiGe, relaxed" magmom_total_mub_per_cell=0.00 ef_kj_per_mol_atoms=-69.54 dos_ef_per_ev_cell=2.87 spacegroup="C2/m (12)" pbc="T T T"
Ni -1.6959 2.8008 -0.6199
Y -4.8531 7.8597 -2.3335
Ge -3.6828 6.5231 0.2427
Y -3.1469 4.8947 -2.2401
Ni -6.3041 9.9535 -3.9536
Ge -4.3172 6.2313 -4.8163

=====

8.
4
Lattice="-0.2214 0.1866 4.0081 -0.7611 -3.3233 2.1272 4.7307 -1.9968 2.3688" Properties=species:S:1:pos:R:3 comment="PBE YNiGe2, relaxed" magmom_total_mub_per_cell=0.00 ef_kj_per_mol_atoms=-62.70 dos_ef_per_ev_cell=1.13 spacegroup="R-3m (166)" pbc="T T T"
Ge 2.3271 -3.7591 6.3471
Ni 1.8741 -2.5667 4.2520
Y 0.0000 0.0000 0.0000
Ge 1.4211 -1.3744 2.1570